a.
{"formula": "Cr3HPt", "functional": "PBE", "state": "relaxed", "cell": [[4.9189, 0.0000, 0.0000], [0.0000, 4.9189, 0.0000], [0.0000, 0.0000, 4.9189]], "species": ["Cr", "Cr", "Cr", "H", "Pt"], "frac_coords": [[0.0000, 0.0000, 0.5000], [0.0000, 0.5000, 0.0000], [0.5000, 0.0000, 0.0000], [0.5000, 0.5000, 0.5000], [0.0000, 0.0000, 0.0000]]}

b.
{"formula": "Cr3HPt", "functional": "PBE", "state": "relaxed", "cell": [[3.7406, 0.0000, 0.0000], [0.0000, 3.7406, 0.0000], [0.0000, 0.0000, 3.7406]], "species": ["Cr", "Cr", "Cr", "H", "Pt"], "frac_coords": [[0.0000, 0.0000, 0.5000], [0.0000, 0.5000, 0.0000], [0.5000, 0.0000, 0.0000], [0.0000, 0.0000, 0.0000], [0.5000, 0.5000, 0.5000]]}

Which structure loses on stability? a does.

a.
{"formula": "CrTc2HPt", "functional": "PBE", "state": "relaxed", "cell": [[3.8829, 0.0000, 0.0000], [0.0000, 3.8829, 0.0000], [0.0000, 0.0000, 3.8617]], "species": ["Cr", "Tc", "Tc", "H", "Pt"], "frac_coords": [[0.0000, 0.0000, 0.0000], [0.0000, 0.5000, 0.5000], [0.5000, 0.0000, 0.5000], [0.0000, 0.0000, 0.5000], [0.5000, 0.5000, 0.0000]]}

b.
{"formula": "CrTc2HPt", "functional": "PBE", "state": "relaxed", "cell": [[4.6419, 0.0000, 0.0000], [0.0000, 4.6419, 0.0000], [0.0000, 0.0000, 2.9998]], "species": ["Cr", "Tc", "Tc", "H", "Pt"], "frac_coords": [[0.0000, 0.0000, 0.0000], [0.0000, 0.5000, 0.0000], [0.5000, 0.0000, 0.0000], [0.0000, 0.0000, 0.5000], [0.5000, 0.5000, 0.5000]]}

Which structure loses on stability? b does.